[1]
First-principles (PBE) data for crystalline Ta2FeSn2Pd at its relaxed geometry, as listed in OQMD via LeMat-Bulk.

Unit cell a=6.1280 b=6.1280 c=7.4656 alpha=65.77 beta=65.77 gamma=90.00
Last column: nearest neighbours and their distance in Å.
Atoms (fractional coordinates):
1 Fe 0.0000 0.0000 0.0000  4 Ta 2.58, 4 Sn 2.62
2 Fe 0.2500 0.7500 0.5000  4 Ta 2.58, 4 Sn 2.62
3 Sn 0.6250 0.1167 0.2500  2 Fe 2.62, 2 Pd 2.68, 1 Ta 2.90
4 Sn 0.3667 0.3750 0.7500  2 Fe 2.62, 2 Pd 2.68, 1 Ta 2.90
5 Sn 0.8833 0.8750 0.7500  2 Fe 2.62, 2 Pd 2.68, 1 Ta 2.90
6 Sn 0.1250 0.6333 0.2500  2 Fe 2.62, 2 Pd 2.68, 1 Ta 2.90
7 Pd 0.7500 0.2500 0.5000  4 Sn 2.68, 4 Ta 2.71
8 Pd 0.5000 0.5000 0.0000  4 Sn 2.68, 4 Ta 2.71
9 Ta 0.1250 0.1070 0.2500  2 Fe 2.58, 2 Pd 2.71
10 Ta 0.3570 0.8750 0.7500  2 Fe 2.58, 2 Pd 2.71
11 Ta 0.8930 0.3750 0.7500  2 Fe 2.58, 2 Pd 2.71
12 Ta 0.6250 0.6430 0.2500  2 Fe 2.58, 2 Pd 2.71

M_tot (μB per atom): 0.000
E (eV/atom): -7.73

---

[2]
First-principles (PBE) data for crystalline TaFeSnPd at its relaxed geometry, as listed in OQMD via LeMat-Bulk.

Unit cell a=4.5151 b=4.5151 c=4.5151 alpha=60.00 beta=60.00 gamma=60.00
Last column: nearest neighbours and their distance in Å.
Atoms (fractional coordinates):
1 Fe 0.7500 0.7500 0.7500  4 Sn 2.76, 4 Ta 2.76
2 Pd 0.2500 0.2500 0.2500  4 Ta 2.76, 4 Sn 2.76
3 Ta 0.5000 0.5000 0.5000  4 Pd 2.76, 4 Fe 2.76
4 Sn 0.0000 0.0000 0.0000  4 Pd 2.76, 4 Fe 2.76

M_tot (μB per atom): 0.377
Energy above the lowest structure with this stoichiometry (eV per formula unit): 0.00

---

[3]
First-principles (PBE) data for crystalline TaFeSnPd at its relaxed geometry, as listed in OQMD via LeMat-Bulk.

Unit cell a=4.5526 b=4.5526 c=4.5526 alpha=60.00 beta=60.00 gamma=60.00
Last column: nearest neighbours and their distance in Å.
Atoms (fractional coordinates):
1 Ta 0.2500 0.2500 0.2500  4 Sn 2.79, 4 Pd 2.79
2 Fe 0.7500 0.7500 0.7500  4 Sn 2.79, 4 Pd 2.79
3 Pd 0.5000 0.5000 0.5000  4 Fe 2.79, 4 Ta 2.79
4 Sn 0.0000 0.0000 0.0000  4 Fe 2.79, 4 Ta 2.79

M_tot (μB per atom): 0.497
Energy above the lowest structure with this stoichiometry (eV per formula unit): 0.84